DFT (SCAN) results for a PBEsol-optimized structure of TaCuIr2.

Cell: 4.330 4.330 4.330 Å, 60.00 60.00 60.00°
Atoms (fractional coordinates):
1 Ir 0.750 0.750 0.750
2 Cu 0.000 0.000 0.000
3 Ta 0.500 0.500 0.500
4 Ir 0.250 0.250 0.250

DFT formation energy (eV per atom): -0.49
Final energy (eV per atom): -56.49
Relative energy among the computed polymorphs (meV/atom): 49.6
Space group: Fm-3m (225)

=====

DFT (SCAN) results for a PBEsol-optimized structure of TaCuIr2.

Cell: 3.968 4.584 3.968 Å, 64.35 90.00 115.65°
Atoms (fractional coordinates):
1 Ta 0.000 0.000 0.000
2 Ir 0.750 0.500 0.750
3 Cu 0.500 0.000 0.500
4 Ir 0.250 0.500 0.250

DFT formation energy (eV per atom): -0.54
Final energy (eV per atom): -56.54
Relative energy among the computed polymorphs (meV/atom): 0.0
Space group: I4/mmm (139)

=====

DFT (SCAN) results for a PBEsol-optimized structure of TaCuIr2.

Cell: 3.598 3.972 3.972 Å, 90.00 90.00 90.00°
Atoms (fractional coordinates):
1 Ta 0.500 0.500 0.500
2 Ir 0.000 0.500 0.000
3 Ir 0.000 0.000 0.500
4 Cu 0.500 0.000 0.000

DFT formation energy (eV per atom): -0.50
Final energy (eV per atom): -56.50
Relative energy among the computed polymorphs (meV/atom): 41.4
Space group: P4/mmm (123)

=====

DFT (SCAN) results for a PBEsol-optimized structure of Tb2CuIr.

Cell: 4.810 4.810 4.810 Å, 60.00 60.00 60.00°
Atoms (fractional coordinates):
1 Ir 0.000 0.000 0.000
2 Tb 0.750 0.750 0.750
3 Tb 0.250 0.250 0.250
4 Cu 0.500 0.500 0.500

DFT formation energy (eV per atom): -0.70
Final energy (eV per atom): -45.66
Space group: Fm-3m (225)

=====

DFT (SCAN) results for a PBEsol-optimized structure of CuTcIr.

Cell: 3.971 3.971 3.971 Å, 60.00 60.00 60.00°
Atoms (fractional coordinates):
1 Cu 0.250 0.250 0.250
2 Tc 0.500 0.500 0.500
3 Ir 0.000 0.000 0.000

DFT formation energy (eV per atom): 0.81
Final energy (eV per atom): -39.64
Space group: F-43m (216)

=====

DFT (SCAN) results for a PBEsol-optimized structure of CuTcIr2.

Cell: 2.722 2.722 7.237 Å, 90.00 90.00 90.00°
Atoms (fractional coordinates):
1 Tc 0.500 0.500 0.000
2 Ir 0.000 0.000 0.251
3 Ir 0.000 0.000 0.749
4 Cu 0.500 0.500 0.500

DFT formation energy (eV per atom): -0.12
Final energy (eV per atom): -48.23
Relative energy among the computed polymorphs (meV/atom): 0.0
Space group: P4/mmm (123)

=====

DFT (SCAN) results for a PBEsol-optimized structure of CuTcIr2.

Cell: 2.772 4.434 5.098 Å, 115.78 105.78 90.00°
Atoms (fractional coordinates):
1 Cu 0.000 0.500 0.000
2 Tc 0.500 0.000 0.000
3 Ir 0.735 0.735 0.469
4 Ir 0.265 0.265 0.531

DFT formation energy (eV per atom): 0.17
Final energy (eV per atom): -47.95
Relative energy among the computed polymorphs (meV/atom): 282.0
Space group: Immm (71)

=====

DFT (SCAN) results for a PBEsol-optimized structure of Cu2TeIr.

Cell: 3.934 3.932 4.714 Å, 114.65 114.66 90.00°
Atoms (fractional coordinates):
1 Cu 0.000 0.000 0.000
2 Cu 0.750 0.250 0.500
3 Te 0.250 0.750 0.500
4 Ir 0.500 0.500 0.000

Final energy (eV per atom): -34.47
Space group: I-4m2 (119)

=====

DFT (SCAN) results for a PBEsol-optimized structure of Cu2TeIr.

Cell: 3.006 3.006 8.229 Å, 79.48 79.48 60.00°
Atoms (fractional coordinates):
1 Te 0.248 0.248 0.255
2 Ir 0.495 0.495 0.515
3 Cu 0.748 0.748 0.757
4 Cu 0.009 0.009 0.973

Final energy (eV per atom): -34.19
Space group: R3m (160)

=====

DFT (SCAN) results for a PBEsol-optimized structure of CuTe2Ir.

Cell: 3.782 4.805 4.805 Å, 106.08 90.00 90.00°
Atoms (fractional coordinates):
1 Cu 0.500 0.500 0.500
2 Te 0.000 0.232 0.768
3 Te 0.000 0.768 0.232
4 Ir 0.500 0.000 0.000

Final energy (eV per atom): -39.94
Space group: Cmmm (65)

=====

DFT (SCAN) results for a PBEsol-optimized structure of TlCu2Ir.

Cell: 4.377 4.377 4.377 Å, 60.00 60.00 60.00°
Atoms (fractional coordinates):
1 Cu 0.000 0.000 0.000
2 Tl 0.750 0.750 0.750
3 Cu 0.250 0.250 0.250
4 Ir 0.500 0.500 0.500

DFT formation energy (eV per atom): 0.40
Final energy (eV per atom): -43.06
Relative energy among the computed polymorphs (meV/atom): 24.8
Space group: F-43m (216)

=====

DFT (SCAN) results for a PBEsol-optimized structure of TlCu2Ir.

Cell: 3.029 3.029 6.407 Å, 90.00 90.00 90.00°
Atoms (fractional coordinates):
1 Ir 0.000 0.000 0.463
2 Cu 0.000 0.000 0.045
3 Tl 0.500 0.500 0.756
4 Cu 0.500 0.500 0.236

DFT formation energy (eV per atom): 0.38
Final energy (eV per atom): -43.08
Relative energy among the computed polymorphs (meV/atom): 0.0
Space group: P4mm (99)

=====

- Look up the final energy of the eighth one.
  -34.47 eV per atom

=====

- What is the final energy in the twelfth record?
  -43.08 eV per atom

=====

- What is the final energy in the tenth record?
  -39.94 eV per atom

=====

- final energy of number 10 (CuTe2Ir)?
  -39.94 eV per atom